DFT (PBEsol) results for Mn2CuSi after structural relaxation.

Results
Theoretical density = 7.257 g cm⁻³
DOS(E_F) = 2.1 states/eV per cell
Formation energy from raw total energies = -0.4 eV/f.u.

```
4
Lattice="-0.6511 1.9466 -2.8707 1.7541 -2.4167 -2.0366 -3.0892 -1.8027 -0.5217" Properties=species:S:1:pos:R:3 pbc="T T T"
Mn -1.5446 -0.9013 -0.2609
Mn 0.8771 -1.2083 -1.0183
Cu -0.3255 0.9733 -1.4353
Si -0.9931 -1.1363 -2.7145
```


DFT (PBEsol) results for MnCu2Si after structural relaxation.

Results
Theoretical density = 7.597 g cm⁻³
DOS(E_F) = 2.9 states/eV per cell
Formation energy from raw total energies = 0.2 eV/f.u.

```
4
Lattice="-0.8164 -2.4128 0.3937 0.3285 -1.7862 -1.8289 6.9359 -3.2920 2.6449" Properties=species:S:1:pos:R:3 pbc="T T T"
Cu 4.8221 -5.6146 0.9011
Cu -0.4442 -4.2107 -1.4160
Mn 3.1574 -3.7278 0.5755
Si 1.6489 -1.8826 0.3186
```


DFT (PBEsol) results for MnCu2Si after structural relaxation.

Results
Theoretical density = 7.445 g cm⁻³
DOS(E_F) = 1.8 states/eV per cell
Formation energy from raw total energies = -0.2 eV/f.u.

```
4
Lattice="3.5067 0.0000 0.0000 0.0000 3.5067 0.0000 -1.7534 -1.7534 3.8108" Properties=species:S:1:pos:R:3 pbc="T T T"
Mn 1.7534 1.7534 0.0000
Si 0.0000 0.0000 0.0000
Cu 1.7534 0.0000 1.9054
Cu 0.0000 1.7534 1.9054
```


DFT (PBEsol) results for Mn2CuSi after structural relaxation.

Results
Theoretical density = 7.559 g cm⁻³
DOS(E_F) = 3.1 states/eV per cell
Formation energy from raw total energies = 0.1 eV/f.u.

```
4
Lattice="2.5406 0.0000 0.0000 1.2703 2.2002 0.0000 1.2703 0.7334 7.9193" Properties=species:S:1:pos:R:3 pbc="T T T"
Si 2.5406 1.4668 4.0406
Cu 1.2703 0.7334 2.0050
Mn 1.2703 0.7334 7.7841
Mn 3.8109 2.2002 5.9686
```


DFT (PBEsol) results for MnCu2Si after structural relaxation.

Results
Theoretical density = 7.415 g cm⁻³
DOS(E_F) = 2.2 states/eV per cell
Formation energy from raw total energies = 0.0 eV/f.u.

```
4
Lattice="2.5561 0.0000 0.0457 0.0000 4.2800 0.0000 -0.3113 0.0000 4.2956" Properties=species:S:1:pos:R:3 pbc="T T T"
Si -0.1556 2.1400 2.1478
Cu 1.7841 0.0000 3.2562
Cu 0.4607 0.0000 1.0851
Mn 1.2781 2.1400 0.0229
```


DFT (PBEsol) results for Mn2CuSi after structural relaxation.

Results
Theoretical density = 7.307 g cm⁻³
DOS(E_F) = 2.6 states/eV per cell
Formation energy from raw total energies = -0.5 eV/f.u.

```
4
Lattice="3.6546 0.0000 0.0000 0.0000 3.6546 0.0000 -1.8273 -1.8273 3.4285" Properties=species:S:1:pos:R:3 pbc="T T T"
Cu 0.0000 0.0000 0.0000
Mn 0.0000 1.8273 1.7142
Mn 1.8273 0.0000 1.7142
Si 1.8273 1.8273 0.0000
```


DFT (PBEsol) results for MnCu2Si after structural relaxation.

Results
Theoretical density = 7.583 g cm⁻³
DOS(E_F) = 2.4 states/eV per cell
Formation energy from raw total energies = -0.2 eV/f.u.

```
4
Lattice="2.6402 0.0000 0.0000 0.0000 4.0442 0.0000 -1.3201 -2.0221 4.3093" Properties=species:S:1:pos:R:3 pbc="T T T"
Cu 0.0000 0.0000 2.0346
Cu 1.3201 2.0221 2.2746
Mn 0.0000 2.0221 0.0000
Si 1.3201 0.0000 0.0000
```


DFT (PBEsol) results for Mn2CuSi after structural relaxation.

Results
Theoretical density = 7.284 g cm⁻³
DOS(E_F) = 2.6 states/eV per cell
Formation energy from raw total energies = -0.3 eV/f.u.

```
4
Lattice="2.6026 0.0000 0.0231 0.0000 3.4598 0.0000 -0.0516 0.0000 5.1014" Properties=species:S:1:pos:R:3 pbc="T T T"
Mn 2.5885 0.0000 1.2655
Mn -0.0375 0.0000 3.8591
Cu 1.2755 1.7299 2.5623
Si 1.3013 1.7299 0.0116
```


DFT (PBEsol) results for MnCu3Si after structural relaxation.

Results
Theoretical density = 5.302 g cm⁻³
DOS(E_F) = 3.4 states/eV per cell
Formation energy from raw total energies = 6.7 eV/f.u.

```
5
Lattice="-1.8921 3.3839 -2.1000 -2.0268 -2.8195 -2.7171 -3.4282 -0.2007 2.7654" Properties=species:S:1:pos:R:3 pbc="T T T"
Si -3.6736 0.1818 -1.0258
Mn 0.0000 0.0000 0.0000
Cu -0.9460 1.6919 -1.0500
Cu -1.0134 -1.4098 -1.3586
Cu -1.7141 -0.1003 1.3827
```


DFT (PBEsol) results for Mn2CuSi after structural relaxation.

Results
Theoretical density = 7.487 g cm⁻³
DOS(E_F) = 3.0 states/eV per cell
Formation energy from raw total energies = -0.2 eV/f.u.

```
4
Lattice="-1.2019 1.8098 -1.4566 -2.9903 -1.0948 1.1073 0.2353 3.2681 3.8664" Properties=species:S:1:pos:R:3 pbc="T T T"
Mn 0.0033 0.0459 0.0543
Mn -2.0400 1.1376 0.7482
Si 0.1182 1.6414 1.9418
Cu -1.9209 2.7923 2.7059
```


DFT (PBEsol) results for MnCu2SiTe4 after structural relaxation.

Results
Theoretical density = 5.704 g cm⁻³
DOS(E_F) = 1.1 states/eV per cell
Formation energy from raw total energies = -0.1 eV/f.u.

```
8
Lattice="5.9956 0.0000 0.0000 0.0000 5.9956 0.0000 -2.9978 -2.9978 5.8347" Properties=species:S:1:pos:R:3 pbc="T T T"
Cu 2.9978 0.0000 2.9173
Cu 0.0000 2.9978 2.9173
Mn 0.0000 0.0000 0.0000
Te 1.5483 1.5483 1.5299
Te 1.4495 -1.4495 4.3048
Te 4.4473 4.4473 1.5299
Te -1.4495 1.4495 4.3048
Si 2.9978 2.9978 0.0000
```


DFT (PBEsol) results for MnCuSi2Te after structural relaxation.

Results
Theoretical density = 5.500 g cm⁻³
DOS(E_F) = 2.8 states/eV per cell
Formation energy from raw total energies = 2.8 eV/f.u.

```
5
Lattice="-4.0220 0.2001 1.6717 1.5961 -0.9245 3.9508 0.5898 4.6859 0.8582" Properties=species:S:1:pos:R:3 pbc="T T T"
Te -0.9180 1.9807 3.2403
Mn 0.0000 0.0000 0.0000
Cu 0.2949 2.3429 0.4291
Si 0.7980 -0.4622 1.9754
Si -2.0110 0.1001 0.8358
```


DFT (PBEsol) results for Mn3CuSn after structural relaxation.

Results
Theoretical density = 4.874 g cm⁻³
ΔE_f = 790 kJ/mol of formula units
DOS(E_F) = 7.1 states/eV per cell

```
5
Lattice="4.9081 0.0000 0.0000 0.0000 4.9081 0.0000 0.0000 0.0000 4.9081" Properties=species:S:1:pos:R:3 pbc="T T T"
Cu 2.4540 2.4540 2.4540
Mn 0.0000 2.4540 0.0000
Mn 2.4540 0.0000 0.0000
Mn 0.0000 0.0000 2.4540
Sn 0.0000 0.0000 0.0000
```


DFT (PBEsol) results for MnCu2SnTe4 after structural relaxation.

Results
Theoretical density = 5.999 g cm⁻³
DOS(E_F) = 2.3 states/eV per cell
Formation energy from raw total energies = -0.4 eV/f.u.

```
8
Lattice="6.0758 0.0000 0.0000 0.0000 6.0758 0.0000 -3.0379 -3.0379 6.0817" Properties=species:S:1:pos:R:3 pbc="T T T"
Te 1.6074 -1.6074 4.3975
Te 4.6453 4.6453 1.6841
Te -1.6074 1.6074 4.3975
Te 1.4305 1.4305 1.6841
Mn 0.0000 0.0000 0.0000
Sn 3.0379 3.0379 0.0000
Cu 0.0000 3.0379 3.0408
Cu 3.0379 0.0000 3.0408
```


DFT (PBEsol) results for SrMn2Cu after structural relaxation.

Results
Theoretical density = 6.049 g cm⁻³
ΔE_f = 330 kJ/mol of formula units
DOS(E_F) = 3.7 states/eV per cell

```
4
Lattice="-3.5288 -1.7859 1.8588 1.8296 0.1421 3.6099 -1.5357 3.6932 0.6329" Properties=species:S:1:pos:R:3 pbc="T T T"
Mn -0.7679 1.8466 0.3165
Mn 0.9148 0.0711 1.8049
Sr -1.6174 1.0247 3.0508
Cu -1.7644 -0.8929 0.9294
```


DFT (PBEsol) results for SrMn2Cu after structural relaxation.

Results
Theoretical density = 5.660 g cm⁻³
ΔE_f = 289 kJ/mol of formula units
DOS(E_F) = 3.5 states/eV per cell

```
4
Lattice="-2.9255 -0.4323 -0.4316 -0.0171 -2.8036 2.9239 0.1064 4.6797 4.4878" Properties=species:S:1:pos:R:3 pbc="T T T"
Mn -0.3149 1.4951 1.4317
Mn -2.5043 2.7523 2.6245
Sr -1.4713 -1.6180 1.2461
Cu -1.4181 0.7219 3.4901
```


DFT (PBEsol) results for Sr3MnCu after structural relaxation.

Results
Theoretical density = 3.334 g cm⁻³
ΔE_f = 270 kJ/mol of formula units
DOS(E_F) = 4.3 states/eV per cell

```
5
Lattice="5.7484 0.0000 0.0000 0.0000 5.7484 0.0000 0.0000 0.0000 5.7484" Properties=species:S:1:pos:R:3 pbc="T T T"
Cu 0.0000 0.0000 0.0000
Sr 0.0000 2.8742 0.0000
Sr 0.0000 0.0000 2.8742
Sr 2.8742 0.0000 0.0000
Mn 2.8742 2.8742 2.8742
```


DFT (PBEsol) results for Sr2MnCu after structural relaxation.

Results
Theoretical density = 4.600 g cm⁻³
ΔE_f = 189 kJ/mol of formula units
DOS(E_F) = 2.9 states/eV per cell

```
4
Lattice="-2.1250 0.1209 3.0858 -0.2527 -5.3124 0.0341 4.3741 -0.1886 3.0196" Properties=species:S:1:pos:R:3 pbc="T T T"
Sr -0.1263 -2.6562 0.0171
Sr 2.1871 -0.0943 1.5098
Mn 0.9982 -2.6901 3.0697
Cu -1.0625 0.0604 1.5429
```


DFT (PBEsol) results for SrMnCu after structural relaxation.

Results
Theoretical density = 4.993 g cm⁻³
ΔE_f = 128 kJ/mol of formula units
DOS(E_F) = 2.5 states/eV per cell

```
3
Lattice="-2.7837 1.1492 -2.9558 -1.1503 -2.6722 3.0564 -1.2644 3.4328 2.5254" Properties=species:S:1:pos:R:3 pbc="T T T"
Sr -2.8714 1.5918 0.3110
Mn -1.6947 -1.3984 1.0524
Cu 0.0000 0.0000 0.0000
```


DFT (PBEsol) results for Ta3MnCu after structural relaxation.

Results
Theoretical density = 12.084 g cm⁻³
ΔE_f = 489 kJ/mol of formula units
DOS(E_F) = 4.3 states/eV per cell

```
5
Lattice="-3.3255 2.0775 2.1997 -2.3231 0.3410 -3.8341 -1.9385 -3.9726 0.8212" Properties=species:S:1:pos:R:3 pbc="T T T"
Ta -1.6627 1.0387 1.0998
Ta -1.1615 0.1705 -1.9171
Ta -0.9693 -1.9863 0.4106
Cu -3.7935 -0.7770 -0.4066
Mn 0.0000 0.0000 0.0000
```


DFT (PBEsol) results for MnCu2Tc after structural relaxation.

Results
Theoretical density = 9.621 g cm⁻³
ΔE_f = 90 kJ/mol of formula units
DOS(E_F) = 2.9 states/eV per cell

```
4
Lattice="2.5146 0.0000 0.0000 -1.2573 4.2121 -0.0312 0.0000 -0.5937 4.5677" Properties=species:S:1:pos:R:3 pbc="T T T"
Cu 1.2573 3.6067 4.4502
Cu 0.0000 1.6513 3.4807
Tc 1.2573 1.9348 1.2039
Mn 1.2573 -0.2528 2.2219
```


DFT (PBEsol) results for MnCuTc2 after structural relaxation.

Results
Theoretical density = 10.377 g cm⁻³
ΔE_f = 88 kJ/mol of formula units
DOS(E_F) = 3.8 states/eV per cell

```
4
Lattice="-1.6860 -0.5706 1.8401 3.4539 -0.9825 2.8600 -1.1807 4.4267 0.2908" Properties=species:S:1:pos:R:3 pbc="T T T"
Cu -0.8430 -0.2853 0.9200
Mn 0.2936 1.4368 2.4955
Tc 1.7269 -0.4912 1.4300
Tc -0.5903 2.2133 0.1454
```


DFT (PBEsol) results for Mn2CuTe after structural relaxation.

Results
Theoretical density = 8.713 g cm⁻³
DOS(E_F) = 3.2 states/eV per cell
Formation energy from raw total energies = 1.2 eV/f.u.

```
4
Lattice="3.9461 0.0000 0.0000 0.0000 3.8130 0.0000 0.0000 0.0000 3.8130" Properties=species:S:1:pos:R:3 pbc="T T T"
Mn 0.0000 0.0000 1.9065
Mn 0.0000 1.9065 0.0000
Cu 1.9730 0.0000 0.0000
Te 1.9730 1.9065 1.9065
```


DFT (PBEsol) results for MnTlCu2 after structural relaxation.

Results
Theoretical density = 10.972 g cm⁻³
ΔE_f = 123 kJ/mol of formula units
DOS(E_F) = 1.4 states/eV per cell

```
4
Lattice="4.3569 0.0000 0.0000 2.1784 3.7732 0.0000 2.1784 1.2577 3.5574" Properties=species:S:1:pos:R:3 pbc="T T T"
Cu 2.1784 1.2577 0.8893
Cu 6.5353 3.7732 2.6680
Tl 4.3569 2.5154 1.7787
Mn 0.0000 0.0000 0.0000
```


DFT (PBEsol) results for MnTl2Cu after structural relaxation.

Results
Theoretical density = 11.696 g cm⁻³
ΔE_f = 189 kJ/mol of formula units
DOS(E_F) = 1.6 states/eV per cell

```
4
Lattice="-1.3929 -2.2062 3.9460 3.1343 -0.9402 3.4163 -0.1822 2.3645 4.0932" Properties=species:S:1:pos:R:3 pbc="T T T"
Tl 1.1693 -0.5864 8.5916
Tl 0.3898 -0.1955 2.8639
Mn 0.7796 -0.3909 5.7277
Cu 0.0000 0.0000 0.0000
```


DFT (PBEsol) results for MnTl2Cu after structural relaxation.

Results
Theoretical density = 11.476 g cm⁻³
ΔE_f = 169 kJ/mol of formula units
DOS(E_F) = 2.7 states/eV per cell

```
4
Lattice="-2.2884 0.1735 -2.5907 3.0532 -1.1403 -2.7733 -0.2537 -5.0294 1.7886" Properties=species:S:1:pos:R:3 pbc="T T T"
Mn 0.3362 -4.3676 -1.1358
Tl -0.2698 -2.0513 -2.7553
Tl -0.2471 -4.6701 1.6481
Cu -0.8330 -2.3645 0.0551
```


DFT (PBEsol) results for MnCuW after structural relaxation.

Results
Theoretical density = 12.763 g cm⁻³
ΔE_f = 124 kJ/mol of formula units
DOS(E_F) = 2.5 states/eV per cell

```
3
Lattice="-1.9197 -1.3935 1.1602 2.4867 -0.8877 0.0431 1.0460 3.2007 5.5751" Properties=species:S:1:pos:R:3 pbc="T T T"
Cu 1.0341 3.1643 5.5118
W -0.0978 -0.1445 2.6698
Mn 1.7226 1.1003 4.1720
```


DFT (PBEsol) results for Mn2CuW after structural relaxation.

Results
Theoretical density = 11.547 g cm⁻³
ΔE_f = 132 kJ/mol of formula units
DOS(E_F) = 4.5 states/eV per cell

```
4
Lattice="-0.6232 2.3938 -0.8476 -2.4613 -0.3546 0.8084 1.7964 2.8464 6.7182" Properties=species:S:1:pos:R:3 pbc="T T T"
Mn 1.3170 2.0869 4.9255
Mn 0.4794 0.7596 1.7927
Cu -0.6441 2.4428 3.3395
W -1.5423 1.0196 -0.0196
```


DFT (PBEsol) results for Mn2CuW after structural relaxation.

Results
Theoretical density = 12.144 g cm⁻³
ΔE_f = 81 kJ/mol of formula units
DOS(E_F) = 1.9 states/eV per cell

```
4
Lattice="4.1011 0.0000 0.0000 -2.0506 3.5406 0.3235 0.0000 2.0507 3.5516" Properties=species:S:1:pos:R:3 pbc="T T T"
W 0.0000 0.0000 0.0000
Mn 0.0000 2.2830 1.0497
Mn 2.0506 3.3083 2.8255
Cu 2.0506 1.0253 1.7758
```


DFT (PBEsol) results for Mn2CuW after structural relaxation.

Results
Theoretical density = 12.067 g cm⁻³
ΔE_f = 130 kJ/mol of formula units
DOS(E_F) = 2.9 states/eV per cell

```
4
Lattice="2.5976 0.0000 0.0000 1.2988 2.2496 0.0000 1.2988 0.7499 8.4132" Properties=species:S:1:pos:R:3 pbc="T T T"
W 2.5976 1.4997 4.2640
Cu 1.2988 0.7499 1.9762
Mn 3.8964 2.2496 6.5016
Mn 1.2988 0.7499 8.2910
```